[1]
A relaxed structure of Ti3NbOs4, computed with GGA-PBE.

The space group is Pmmm (No. 47) and the conventional cell measures 3.1157, 4.4139 and 8.8230 Å, with angles of 90.00, 90.00 and 90.00 degrees. The distinct sites, in fractional coordinates, are Ti at (0.0000, 0.0000, 0.0000), Ti at (0.0000, 0.5000, 0.2461), Nb at (0.0000, 0.0000, 0.5000), Os at (0.5000, 0.0000, 0.2454), Os at (0.5000, 0.5000, 0.0000) and Os at (0.5000, 0.5000, 0.5000).


[2]
A relaxed structure of Na2OsPbSe, computed with GGA-PBE.

The space group is P4/mmm (No. 123) and the conventional cell measures 5.0796, 5.0796 and 6.0411 Å, with angles of 90.00, 90.00 and 90.00 degrees. The distinct sites, in fractional coordinates, are Na at (0.0000, 0.5000, 0.0000), Os at (0.0000, 0.0000, 0.5000), Pb at (0.5000, 0.5000, 0.5000) and Se at (0.5000, 0.5000, 0.0000).

The calculation puts the energy relative to the elements, uncorrected at 0.836 eV/atom.


Calculated values (eV/atom) of calculated total energy for the records, taken in order: -10.402; -3.376.